The following is a GGA-PBE calculation of a relaxed structure of ReHg2Pb, from Alexandria via LeMat-Bulk.

Fermi-level density of states: 0.752 states/eV/atom
Crystal system: cubic
Raw total energy: -3.11 eV/atom

The structure in CIF format:
```
data_ReHg2Pb
_cell_length_a 5.0087
_cell_length_b 5.0087
_cell_length_c 5.0087
_cell_angle_alpha 60.00
_cell_angle_beta 60.00
_cell_angle_gamma 60.00
_symmetry_space_group_name_H-M 'P 1'
_symmetry_Int_Tables_number 1
loop_
_symmetry_equiv_pos_as_xyz
'x,y,z'
loop_
_atom_site_label
_atom_site_type_symbol
_atom_site_fract_x
_atom_site_fract_y
_atom_site_fract_z
_atom_site_occupancy
Hg1 Hg 0.0000 0.0000 0.0000 1
Hg2 Hg 0.2500 0.2500 0.2500 1
Pb1 Pb 0.5000 0.5000 0.5000 1
Re1 Re 0.7500 0.7500 0.7500 1
```